Computed, not measured: a geometry-optimized PmTmCu4 structure at the PBE level of DFT.

SG: Imm2, No. 44
Magnetic moment: 0.00 μB/f.u.
ΔE_f: -1.52 eV/f.u.
DFT total energy: -27.1 eV per cell

Cell lengths 5.4802, 5.4802, 5.4802 Å; angles 133.79, 102.12, 95.62 degrees
With the nearest neighbours (Å) after each atom.
Fractional positions:
Pm  0.0000  0.0000  0.0000  12 Cu 2.96-3.13
Tm  0.4140  0.9140  0.5000  12 Cu 2.94-3.12
Cu  0.4224  0.6174  0.8051  4 Cu 2.49-2.69
Cu  0.5877  0.2883  0.2994  4 Cu 2.49-2.76
Cu  0.8123  0.6174  0.1949  4 Cu 2.49-2.69
Cu  0.9889  0.2883  0.7006  4 Cu 2.49-2.76



Computed, not measured: a geometry-optimized PmTm5Cu4 structure at the PBE level of DFT.

SG: P4/mmm, No. 123
Magnetic moment: 0.00 μB/f.u.
ΔE_f: -2.23 eV/f.u.
DFT total energy: -45.7 eV per cell

Cell lengths 3.4183, 3.4183, 19.0633 Å; angles 90.00, 90.00, 90.00 degrees
With the nearest neighbours (Å) after each atom.
Fractional positions:
Pm  0.0000  0.0000  0.0000  4 Pm 3.42, 8 Tm 3.61
Tm  0.5000  0.5000  0.1408  4 Cu 2.94
Tm  0.5000  0.5000  0.3192  8 Cu 2.97
Tm  0.5000  0.5000  0.5000  8 Cu 2.97
Tm  0.5000  0.5000  0.6808  8 Cu 2.97
Tm  0.5000  0.5000  0.8592  4 Cu 2.94
Cu  0.0000  0.0000  0.2287  8 Tm 2.94-2.97
Cu  0.0000  0.0000  0.4095  8 Tm 2.97
Cu  0.0000  0.0000  0.5905  8 Tm 2.97
Cu  0.0000  0.0000  0.7713  8 Tm 2.94-2.97



Computed, not measured: a geometry-optimized Pm2TmCu6 structure at the PBE level of DFT.

SG: P6/mmm, No. 191
Magnetic moment: 0.00 μB/f.u.
ΔE_f: -2.11 eV/f.u.
DFT total energy: -40.7 eV per cell

Cell lengths 7.3643, 7.3643, 3.6396 Å; angles 90.00, 90.00, 120.00 degrees
With the nearest neighbours (Å) after each atom.
Fractional positions:
Pm  0.3333  0.6667  0.0000  12 Cu 3.06
Pm  0.6667  0.3333  0.0000  12 Cu 3.06
Tm  0.0000  0.0000  0.0000  12 Cu 3.04
Cu  0.0000  0.3305  0.5000  3 Cu 2.43-2.50
Cu  0.0000  0.6695  0.5000  3 Cu 2.43-2.50
Cu  0.3305  0.0000  0.5000  3 Cu 2.43-2.50
Cu  0.3305  0.3305  0.5000  3 Cu 2.43-2.50
Cu  0.6695  0.0000  0.5000  3 Cu 2.43-2.50
Cu  0.6695  0.6695  0.5000  3 Cu 2.43-2.50



Computed, not measured: a geometry-optimized PmTmCu10 structure at the PBE level of DFT.

SG: Pmmm, No. 47
Magnetic moment: 0.00 μB/f.u.
ΔE_f: -2.20 eV/f.u.
DFT total energy: -52.4 eV per cell

Cell lengths 4.1060, 5.0648, 8.6967 Å; angles 90.00, 90.00, 90.00 degrees
With the nearest neighbours (Å) after each atom.
Fractional positions:
Pm  0.0000  0.0000  0.0000  18 Cu 2.94-3.28
Tm  0.0000  0.5000  0.5000  6 Cu 2.86-2.90
Cu  0.0000  0.0000  0.3381  6 Cu 2.49-2.53
Cu  0.0000  0.0000  0.6619  6 Cu 2.49-2.53
Cu  0.0000  0.5000  0.1716  6 Cu 2.51-2.54
Cu  0.0000  0.5000  0.8284  6 Cu 2.51-2.54
Cu  0.5000  0.0000  0.5000  8 Cu 2.49
Cu  0.5000  0.2528  0.2543  8 Cu 2.49-2.56
Cu  0.5000  0.2528  0.7457  8 Cu 2.49-2.56
Cu  0.5000  0.5000  0.0000  8 Cu 2.54
Cu  0.5000  0.7472  0.2543  8 Cu 2.49-2.56
Cu  0.5000  0.7472  0.7457  8 Cu 2.49-2.56



Computed, not measured: a geometry-optimized PmYTmCu structure at the PBE level of DFT.

SG: P4mm, No. 99
Magnetic moment: 0.00 μB/f.u.
ΔE_f: -0.43 eV/f.u.
DFT total energy: -20.2 eV per cell

Cell lengths 3.4934, 3.4934, 8.7466 Å; angles 90.00, 90.00, 90.00 degrees
With the nearest neighbours (Å) after each atom.
Fractional positions:
Pm  0.0000  0.0000  0.0000  4 Pm 3.49, 4 Tm 3.63, 4 Y 3.67
Y  0.5000  0.5000  0.6891  4 Cu 3.04, 1 Tm 3.37
Tm  0.5000  0.5000  0.3036  4 Cu 2.95
Cu  0.0000  0.0000  0.4872  4 Tm 2.95, 4 Y 3.04



Computed, not measured: a geometry-optimized PmVCu4 structure at the PBE level of DFT.

SG: F-43m, No. 216
Magnetic moment: 3.93 μB/f.u.
ΔE_f: 0.38 eV/f.u.
DFT total energy: -29.9 eV per cell

Cell lengths 5.1122, 5.1122, 5.1122 Å; angles 60.00, 60.00, 60.00 degrees
With the nearest neighbours (Å) after each atom.
Fractional positions:
Pm  0.0000  0.0000  0.0000  12 Cu 3.00, 4 V 3.13
V  0.7500  0.7500  0.7500  12 Cu 2.99, 4 Pm 3.13
Cu  0.3766  0.3766  0.3766  6 Cu 2.52-2.59
Cu  0.3766  0.3766  0.8703  6 Cu 2.52-2.59
Cu  0.3766  0.8703  0.3766  6 Cu 2.52-2.59
Cu  0.8703  0.3766  0.3766  6 Cu 2.52-2.59



Computed, not measured: a geometry-optimized PmCuW structure at the PBE level of DFT.

SG: C2/m, No. 12
Magnetic moment: 0.00 μB/f.u.
ΔE_f: 1.08 eV/f.u.
DFT total energy: -41.4 eV per cell

Cell lengths 5.3553, 5.3553, 7.1795 Å; angles 125.10, 125.10, 50.24 degrees
With the nearest neighbours (Å) after each atom.
Fractional positions:
Pm  0.2478  0.2478  0.1875  3 Cu 2.85-3.03, 3 W 3.01-3.11
Pm  0.7522  0.7522  0.8125  3 Cu 2.85-3.03, 3 W 3.01-3.11
Cu  0.4473  0.4473  0.7884  1 Cu 2.52, 3 W 2.67-2.74
Cu  0.5527  0.5527  0.2116  1 Cu 2.52, 3 W 2.67-2.74
W  0.0841  0.0841  0.4306  1 W 2.39, 2 Cu 2.67
W  0.9159  0.9159  0.5694  1 W 2.39, 2 Cu 2.67



Computed, not measured: a geometry-optimized PmY2Cu2 structure at the PBE level of DFT.

SG: P2_1/m, No. 11
Magnetic moment: 0.00 μB/f.u.
ΔE_f: -0.68 eV/f.u.
DFT total energy: -53.1 eV per cell

Cell lengths 3.5514, 5.1573, 13.1982 Å; angles 90.00, 97.73, 90.00 degrees
With the nearest neighbours (Å) after each atom.
Fractional positions:
Pm  0.1400  0.2500  0.2816  6 Cu 3.10-3.13
Pm  0.8600  0.7500  0.7184  6 Cu 3.10-3.13
Y  0.0461  0.7500  0.0930  8 Cu 2.95-3.13
Y  0.2301  0.7500  0.4599  2 Cu 2.94-2.95
Y  0.7699  0.2500  0.5401  2 Cu 2.94-2.95
Y  0.9539  0.2500  0.9070  8 Cu 2.95-3.13
Cu  0.3607  0.2500  0.7197  4 Y 2.94-3.03, 4 Pm 3.13
Cu  0.4570  0.7500  0.9122  6 Y 2.95-3.13, 2 Pm 3.10
Cu  0.5430  0.2500  0.0878  6 Y 2.95-3.13, 2 Pm 3.10
Cu  0.6393  0.7500  0.2803  4 Y 2.94-3.03, 4 Pm 3.13



Computed, not measured: a geometry-optimized Pm4Y3Cu4 structure at the PBE level of DFT.

SG: Immm, No. 71
Magnetic moment: 0.00 μB/f.u.
ΔE_f: -0.49 eV/f.u.
DFT total energy: -55.3 eV per cell

Cell lengths 8.8833, 8.8833, 8.8833 Å; angles 147.83, 130.86, 59.96 degrees
With the nearest neighbours (Å) after each atom.
Fractional positions:
Pm  0.0489  0.8287  0.2202  4 Cu 2.77-2.98
Pm  0.3915  0.1713  0.2202  4 Cu 2.77-2.98
Pm  0.6085  0.8287  0.7798  4 Cu 2.77-2.98
Pm  0.9511  0.1713  0.7798  4 Cu 2.77-2.98
Y  0.0000  0.5000  0.5000  2 Cu 3.05
Y  0.3979  0.3979  0.0000  1 Y 3.14, 4 Cu 3.16, 4 Pm 3.39
Y  0.6021  0.6021  0.0000  1 Y 3.14, 4 Cu 3.16, 4 Pm 3.39
Cu  0.1984  0.6984  0.5000  6 Pm 2.88-2.98, 1 Y 3.05
Cu  0.3350  0.0000  0.3350  1 Cu 2.44
Cu  0.6650  0.0000  0.6650  1 Cu 2.44
Cu  0.8016  0.3016  0.5000  6 Pm 2.88-2.98, 1 Y 3.05



Computed, not measured: a geometry-optimized PmYCu3 structure at the PBE level of DFT.

SG: Cmcm, No. 63
Magnetic moment: 0.00 μB/f.u.
ΔE_f: -1.15 eV/f.u.
DFT total energy: -49.3 eV per cell

Cell lengths 12.9521, 12.9521, 4.2993 Å; angles 90.00, 90.00, 163.42 degrees
With the nearest neighbours (Å) after each atom.
Fractional positions:
Pm  0.0716  0.9284  0.7500  12 Cu 3.07-3.19
Pm  0.9284  0.0716  0.2500  12 Cu 3.07-3.19
Y  0.2042  0.7958  0.2500  7 Cu 2.87-3.16
Y  0.7958  0.2042  0.7500  7 Cu 2.87-3.16
Cu  0.3276  0.6724  0.2500  2 Cu 2.55
Cu  0.3810  0.6190  0.7500  3 Cu 2.45-2.55
Cu  0.4766  0.5234  0.7500  3 Cu 2.45-2.46
Cu  0.5234  0.4766  0.2500  3 Cu 2.45-2.46
Cu  0.6190  0.3810  0.2500  3 Cu 2.45-2.55
Cu  0.6724  0.3276  0.7500  2 Cu 2.55



Computed, not measured: a geometry-optimized PmY2Cu9 structure at the PBE level of DFT.

SG: R-3m, No. 166
Magnetic moment: 0.00 μB/f.u.
ΔE_f: -2.22 eV/f.u.
DFT total energy: -56.8 eV per cell

Cell lengths 8.8087, 8.8087, 8.8087 Å; angles 34.48, 34.48, 34.48 degrees
With the nearest neighbours (Å) after each atom.
Fractional positions:
Pm  0.0000  0.0000  0.0000  18 Cu 3.01-3.31
Y  0.1429  0.1429  0.1429  12 Cu 3.01-3.08, 3 Y 3.24
Y  0.8571  0.8571  0.8571  12 Cu 3.01-3.08, 3 Y 3.24
Cu  0.0835  0.5816  0.5816  7 Cu 2.52-2.62
Cu  0.3322  0.3322  0.3322  6 Cu 2.52-2.56
Cu  0.4184  0.4184  0.9165  7 Cu 2.52-2.62
Cu  0.4184  0.9165  0.4184  7 Cu 2.52-2.62
Cu  0.5000  0.5000  0.5000  6 Cu 2.58
Cu  0.5816  0.0835  0.5816  7 Cu 2.52-2.62
Cu  0.5816  0.5816  0.0835  7 Cu 2.52-2.62
Cu  0.6678  0.6678  0.6678  6 Cu 2.52-2.56
Cu  0.9165  0.4184  0.4184  7 Cu 2.52-2.62



- Look up the magnetic moment of the eighth one.
  0.00 μB/f.u.